[1]
## Ce2TmC (PBE)

Data for a geometry-optimized Ce2TmC structure.

The structure in POSCAR format:
```
Ce2TmC
1.0
3.218 0.000 0.000
0.000 3.218 0.000
0.000 0.000 8.693
Ce Tm C
2 1 1
Direct
0.000 0.000 0.157
0.000 0.000 0.843
0.500 0.500 0.500
0.500 0.500 0.000
```

- total moment (Bohr magnetons per cell) = 0.00
- V (Å³/f.u.) = 90
- ΔE_f (eV/atom) = 0.14



[2]
## Cs2TlCdAu2 (PBE)

Data for a geometry-optimized Cs2TlCdAu2 structure.

The structure in POSCAR format:
```
Cs2TlCdAu2
1.0
-3.617 8.482 3.604
3.617 -8.482 3.604
3.617 8.482 -3.604
Cs Tl Cd Au
4 2 2 4
Direct
0.175 0.244 0.419
0.325 0.744 0.069
0.675 0.256 0.931
0.825 0.756 0.581
0.250 0.750 0.500
0.750 0.250 0.500
0.250 0.250 0.000
0.750 0.750 0.000
0.091 0.756 0.847
0.409 0.256 0.665
0.591 0.744 0.335
0.909 0.244 0.153
```

- total moment (Bohr magnetons per cell) = 0.00
- V (Å³/f.u.) = 221
- ΔE_f (eV/atom) = -0.21



[3]
## CeCu2Pb2S4 (PBE)

Data for a geometry-optimized CeCu2Pb2S4 structure.

The structure in POSCAR format:
```
CeCu2Pb2S4
1.0
7.208 -1.935 0.000
7.208 1.935 0.000
-1.907 0.000 7.404
Ce Cu Pb S
1 2 2 4
Direct
0.000 0.000 0.000
0.326 0.326 0.027
0.674 0.674 0.973
0.151 0.151 0.496
0.849 0.849 0.504
0.194 0.194 0.155
0.471 0.471 0.238
0.529 0.529 0.762
0.806 0.806 0.845
```

- total moment (Bohr magnetons per cell) = 0.14
- energy relative to the elements, uncorrected (kJ per mole of atoms) = -69
- V (Å³/f.u.) = 206